1.
PBE-GGA La2P3IrRh4, relaxed; final energy = -7.3099 eV per atom; energy of formation = -0.8748 eV/atom; DOS at the Fermi energy = 9.080 states/eV/cell
1.0
4.1791 0.0000 0.0000
0.0000 4.1791 0.0000
0.0000 0.0000 10.0755
La P Ir Rh
2 3 1 4
direct
0.0000 0.5000 0.2459
0.5000 0.0000 0.7541
0.0000 0.0000 0.0000
0.0000 0.5000 0.6285
0.5000 0.0000 0.3715
0.5000 0.5000 0.0000
0.0000 0.0000 0.5000
0.0000 0.5000 0.8584
0.5000 0.0000 0.1416
0.5000 0.5000 0.5000

2.
PBE-GGA La2P4Ir3Rh, relaxed; final energy = -7.6116 eV per atom; energy of formation = -1.0687 eV/atom; DOS at the Fermi energy = 5.176 states/eV/cell
1.0
4.2347 0.0000 0.0000
0.0000 4.2347 0.0000
0.0000 0.0000 9.6070
La P Ir Rh
2 4 3 1
direct
0.0000 0.5000 0.2416
0.5000 0.0000 0.7584
0.0000 0.0000 0.0000
0.0000 0.5000 0.6380
0.5000 0.0000 0.3620
0.5000 0.5000 0.0000
0.0000 0.5000 0.8889
0.5000 0.0000 0.1111
0.5000 0.5000 0.5000
0.0000 0.0000 0.5000

3.
PBE-GGA La2P4IrRh3, relaxed; final energy = -7.3402 eV per atom; energy of formation = -1.0992 eV/atom; DOS at the Fermi energy = 4.745 states/eV/cell
1.0
4.2016 0.0000 0.0000
0.0000 4.2016 0.0000
0.0000 0.0000 9.6808
La P Ir Rh
2 4 1 3
direct
0.0000 0.5000 0.2414
0.5000 0.0000 0.7586
0.0000 0.0000 0.0000
0.0000 0.5000 0.6379
0.5000 0.0000 0.3621
0.5000 0.5000 0.0000
0.0000 0.0000 0.5000
0.0000 0.5000 0.8882
0.5000 0.0000 0.1118
0.5000 0.5000 0.5000